Record 1
{"formula": "SrBeNb", "functional": "PBE", "state": "optimized geometry", "lattice_angstrom": [[0.000, 3.488, 3.488], [3.488, 0.000, 3.488], [3.488, 3.488, 0.000]], "species": ["Be", "Sr", "Nb"], "frac_coords": [[0.250, 0.250, 0.250], [0.000, 0.000, 0.000], [0.750, 0.750, 0.750]], "energy_ev_per_atom": -3.121}

***

Record 2
{"formula": "Ac5Pd2", "functional": "PBE", "state": "optimized geometry", "lattice_angstrom": [[9.306, -3.513, 0.000], [9.306, 3.513, 0.000], [-0.973, 0.000, 7.708]], "species": ["Ac", "Ac", "Ac", "Ac", "Ac", "Ac", "Ac", "Ac", "Pd", "Ac", "Pd", "Pd", "Pd", "Ac"], "frac_coords": [[0.795, 0.633, 0.811], [0.422, 0.578, 0.250], [0.003, 0.191, 0.421], [0.809, 0.997, 0.079], [0.578, 0.422, 0.750], [0.205, 0.367, 0.189], [0.367, 0.205, 0.689], [0.191, 0.003, 0.921], [0.208, 0.574, 0.920], [0.633, 0.795, 0.311], [0.792, 0.426, 0.080], [0.426, 0.792, 0.580], [0.574, 0.208, 0.420], [0.997, 0.809, 0.579]], "energy_ev_per_atom": -4.893}